# Mg2AlPt (SCAN, single point on PBEsol structure)
# DOS(E_F): 1.7 states/eV/cell
# energy of formation from the pure elements: -709.2 meV/atom
# E: -1.66712 Ry per atom
data_Mg2AlPt
_chemical_formula_sum 'Mg4 Al2 Pt2'
_space_group_name_H-M_alt 'I -4 m 2'
_space_group_IT_number 119
_space_group_name_Hall 'I -4 -2'
_cell_length_a 4.231
_cell_length_b 4.231
_cell_length_c 7.196
_cell_angle_alpha 90.00
_cell_angle_beta 90.00
_cell_angle_gamma 90.00
loop_
_atom_site_label
_atom_site_type_symbol
_atom_site_fract_x
_atom_site_fract_y
_atom_site_fract_z
_atom_site_occupancy
Mg1 Mg 0.000 0.000 0.000 1
Mg2 Mg 0.000 0.500 0.250 1
Al1 Al 0.000 0.000 0.500 1
Pt1 Pt 0.000 0.500 0.750 1

=====

# Ta2CdAs (SCAN, single point on PBEsol structure)
# DOS(E_F): 2.4 states/eV/cell
# energy of formation from the pure elements: 191.4 meV/atom
# E: -3.36267 Ry per atom
# excess energy over the best structure of this formula in the dataset: 0.180 eV per atom
data_Ta2CdAs
_chemical_formula_sum 'Ta2 Cd1 As1'
_space_group_name_H-M_alt 'P 1 m 1'
_space_group_IT_number 6
_cell_length_a 2.883
_cell_length_b 4.776
_cell_length_c 5.345
_cell_angle_alpha 90.00
_cell_angle_beta 101.28
_cell_angle_gamma 90.00
loop_
_space_group_symop_operation_xyz
'x,y,z'
'x,-y,z'
loop_
_atom_site_label
_atom_site_type_symbol
_atom_site_fract_x
_atom_site_fract_y
_atom_site_fract_z
_atom_site_occupancy
Ta1 Ta 0.000 0.000 0.000 1
Ta2 Ta 0.263 0.500 0.746 1
Cd1 Cd 0.630 0.000 0.487 1
As1 As 0.049 0.500 0.205 1

=====

Number 1 is which compound? Mg2AlPt